Entry from Alexandria: an optimized crystal structure of HfVCuMo2 (PBE).

Structure (POSCAR):
```
HfVCuMo2
1.0
4.4313 0.0000 0.0000
0.0000 4.4313 0.0000
0.0000 0.0000 4.8889
Hf V Cu Mo
1 1 1 2
direct
0.0000 0.0000 0.0000
0.0000 0.0000 0.5000
0.5000 0.5000 0.0000
0.0000 0.5000 0.5000
0.5000 0.0000 0.5000
```

Computed properties:
Energy relative to the elements = 5.93 eV per formula unit
DOS(E_F) = 5.80 states/eV/f.u.
Calculated total energy = -38.9 eV per formula unit
Total magnetization = 0.0 μB per formula unit